1.
Rb2Hg13 | PBE | optimized geometry

```
Rb2Hg13
1.0
8.632 0.000 0.000
4.316 7.476 0.000
4.316 2.492 8.799
Hg Rb
13 2
direct
0.361 0.989 0.290
0.870 0.237 0.657
0.361 0.361 0.290
0.237 0.870 0.657
0.763 0.763 0.343
0.237 0.237 0.657
0.989 0.361 0.290
0.639 0.011 0.710
0.130 0.763 0.343
0.639 0.639 0.710
0.763 0.130 0.343
0.500 0.500 0.500
0.011 0.639 0.710
0.358 0.358 0.926
0.642 0.642 0.074
```

## Properties
calculated formation energy	-0.09	eV/atom
VASP energy	-7.260	eV/cell
energy above the most stable polymorph in this dataset	0.0	meV/atom



2.
LaBAsSe2 | PBE | optimized geometry

```
LaBAsSe2
1.0
4.803 0.000 0.000
0.000 4.803 0.000
0.000 0.000 4.392
Se As La B
2 1 1 1
direct
0.000 0.500 0.000
0.500 0.000 0.000
0.000 0.000 0.500
0.500 0.500 0.500
0.000 0.000 0.000
```

## Properties
VASP energy	-24.826	eV/cell
energy above the most stable polymorph in this dataset	0.0	meV/atom
uncorrected formation energy	-0.321	eV/atom



Number 1: spin magnetization 0.00 μB per cell. Number 2: spin magnetization 0.00 μB per cell.